# 1
Density functional theory data (GGA-PBE) for crystalline Pm6NdIn2 at its relaxed geometry.

Output
- excess energy over the best structure of this formula in the dataset (kcal/mol of atoms) = 1.60
- energy relative to the elements (eV per formula unit) = -1.13

Cell: 4.631 8.535 8.535 Å, 120.00 90.00 90.00°
Fractional positions:
Pm 0.000 0.000 0.000
Pm 0.000 0.464 0.732
Pm 0.000 0.732 0.464
Pm 0.500 0.143 0.732
Pm 0.500 0.321 0.321
Pm 0.500 0.732 0.143
Nd 0.500 0.733 0.733
In 0.000 0.065 0.399
In 0.000 0.399 0.065


# 2
Density functional theory data (GGA-PBE) for crystalline Ac3SiN at its relaxed geometry.

Output
- formation energy without anion corrections (meV/atom) = -558.0
- excess energy over the best structure of this formula in the dataset (kcal/mol of atoms) = 0.80

Cell: 5.235 5.235 5.235 Å, 90.00 90.00 90.00°
Fractional positions:
Ac 0.000 0.000 0.500
Ac 0.000 0.500 0.000
Ac 0.500 0.000 0.000
Si 0.500 0.500 0.500
N 0.000 0.000 0.000


# 3
Density functional theory data (GGA-PBE) for crystalline NaTl2Pd2 at its relaxed geometry.

Output
- excess energy over the best structure of this formula in the dataset (kcal/mol of atoms) = 0.90
- energy relative to the elements (eV per formula unit) = -0.80

Cell: 5.635 7.069 7.508 Å, 93.10 111.77 113.38°
Fractional positions:
Na 0.094 0.249 0.251
Na 0.906 0.751 0.749
Tl 0.230 0.384 0.776
Tl 0.429 0.885 0.276
Tl 0.571 0.115 0.724
Tl 0.770 0.616 0.224
Pd 0.268 0.678 0.542
Pd 0.449 0.178 0.042
Pd 0.551 0.822 0.958
Pd 0.732 0.322 0.458


# 4
Density functional theory data (GGA-PBE) for crystalline CrSn2B at its relaxed geometry.

Output
- excess energy over the best structure of this formula in the dataset (kcal/mol of atoms) = 0.00
- energy relative to the elements (eV per formula unit) = 2.41

Cell: 6.465 6.465 6.465 Å, 96.32 96.32 141.25°
Fractional positions:
Cr 0.000 0.000 0.000
Cr 0.750 0.250 0.500
Sn 0.250 0.625 0.125
Sn 0.375 0.500 0.625
Sn 0.500 0.125 0.875
Sn 0.875 0.750 0.375
B 0.250 0.750 0.500
B 0.500 0.500 0.000


# 5
Density functional theory data (GGA-PBE) for crystalline La8Pr3Sc2 at its relaxed geometry.

Output
- energy relative to the elements (eV per formula unit) = 1.83

Cell: 8.925 8.925 6.216 Å, 106.87 106.87 83.51°
Fractional positions:
La 0.054 0.054 0.297
La 0.068 0.575 0.825
La 0.349 0.349 0.439
La 0.425 0.932 0.175
La 0.575 0.068 0.825
La 0.651 0.651 0.561
La 0.932 0.425 0.175
La 0.946 0.946 0.703
Pr 0.251 0.749 0.500
Pr 0.500 0.500 0.000
Pr 0.749 0.251 0.500
Sc 0.208 0.208 0.850
Sc 0.792 0.792 0.150


# 6
Density functional theory data (GGA-PBE) for crystalline ThNi2B2 at its relaxed geometry.

Output
- energy relative to the elements (eV per formula unit) = -1.91

Cell: 5.371 5.371 3.955 Å, 104.72 104.72 36.42°
Fractional positions:
Th 0.000 0.000 0.000
Ni 0.322 0.322 0.411
Ni 0.678 0.678 0.589
B 0.263 0.263 0.880
B 0.737 0.737 0.120


# 7
Density functional theory data (GGA-PBE) for crystalline HfCr3Rh at its relaxed geometry.

Output
- excess energy over the best structure of this formula in the dataset (kcal/mol of atoms) = 0.00
- energy relative to the elements (eV per formula unit) = 5.82

Cell: 4.591 4.591 4.591 Å, 90.00 90.00 90.00°
Fractional positions:
Hf 0.000 0.000 0.000
Cr 0.000 0.500 0.500
Cr 0.500 0.000 0.500
Cr 0.500 0.500 0.000
Rh 0.500 0.500 0.500


# 8
Density functional theory data (GGA-PBE) for crystalline Pu2BeNi3P4 at its relaxed geometry.

Output
- energy relative to the elements (eV per formula unit) = -7.70

Cell: 4.000 4.000 8.996 Å, 90.00 90.00 90.00°
Fractional positions:
Pu 0.000 0.500 0.245
Pu 0.500 0.000 0.755
Be 0.000 0.000 0.500
Ni 0.000 0.500 0.886
Ni 0.500 0.000 0.114
Ni 0.500 0.500 0.500
P 0.000 0.000 0.000
P 0.000 0.500 0.634
P 0.500 0.000 0.366
P 0.500 0.500 0.000


# 9
Density functional theory data (GGA-PBE) for crystalline Ho16Er6Tm7 at its relaxed geometry.

Output
- energy relative to the elements (eV per formula unit) = 7.03

Cell: 10.962 10.962 10.962 Å, 60.00 60.00 60.00°
Fractional positions:
Ho 0.045 0.652 0.652
Ho 0.122 0.122 0.122
Ho 0.122 0.122 0.634
Ho 0.122 0.634 0.122
Ho 0.348 0.348 0.348
Ho 0.348 0.348 0.955
Ho 0.348 0.955 0.348
Ho 0.366 0.878 0.878
Ho 0.634 0.122 0.122
Ho 0.652 0.045 0.652
Ho 0.652 0.652 0.045
Ho 0.652 0.652 0.652
Ho 0.878 0.366 0.878
Ho 0.878 0.878 0.366
Ho 0.878 0.878 0.878
Ho 0.955 0.348 0.348
Er 0.278 0.278 0.722
Er 0.278 0.722 0.278
Er 0.278 0.722 0.722
Er 0.722 0.278 0.278
Er 0.722 0.278 0.722
Er 0.722 0.722 0.278
Tm 0.000 0.000 0.000
Tm 0.000 0.000 0.500
Tm 0.000 0.500 0.000
Tm 0.000 0.500 0.500
Tm 0.500 0.000 0.000
Tm 0.500 0.000 0.500
Tm 0.500 0.500 0.000


# 10
Density functional theory data (GGA-PBE) for crystalline Rb2HCl at its relaxed geometry.

Output
- excess energy over the best structure of this formula in the dataset (kcal/mol of atoms) = 0.55

Cell: 4.408 4.408 7.727 Å, 90.00 90.00 120.00°
Fractional positions:
Rb 0.333 0.667 0.230
Rb 0.667 0.333 0.770
H 0.000 0.000 0.000
Cl 0.000 0.000 0.500


# 11
Density functional theory data (GGA-PBE) for crystalline Li2CdPRu at its relaxed geometry.

Output
- energy relative to the elements (eV per formula unit) = 0.58

Cell: 4.786 4.786 4.386 Å, 90.00 90.00 90.00°
Fractional positions:
Li 0.000 0.500 0.000
Li 0.500 0.000 0.000
Cd 0.000 0.000 0.500
P 0.500 0.500 0.500
Ru 0.500 0.500 0.000


# 12
Density functional theory data (GGA-PBE) for crystalline YCI at its relaxed geometry.

Output
- formation energy without anion corrections (meV/atom) = -813.2
- excess energy over the best structure of this formula in the dataset (kcal/mol of atoms) = 0.99

Cell: 4.027 4.027 11.010 Å, 92.13 92.13 70.51°
Fractional positions:
Y 0.181 0.181 0.380
Y 0.819 0.819 0.620
C 0.356 0.644 0.500
C 0.644 0.356 0.500
I 0.205 0.205 0.805
I 0.795 0.795 0.195


no.,calculated volume (Å³/f.u.)
1,292
2,143
3,124
4,80
5,453
6,65
7,97
8,144
9,931
10,130
11,100
12,84